VASP calculation (GGA+U) on a relaxed Li6MnO4F crystal.

* calculated total energy: -127.46 eV/cell
* M_tot: 8.0 Bohr magnetons per cell

a b c (Å): 4.9577 9.5403 5.3133
angles (deg): 90.00 116.24 90.00
Last column: nearest neighbours and their distance in Å.
Space group P2_1 (No. 4)
One atom of each set of equivalent atoms:
Li: 0.0611 0.0000 0.4069 (multiplicity 2)  4 O 1.97-2.19
Li: 0.1224 0.3143 0.9809 (multiplicity 2)  4 O 1.96-2.19
Li: 0.2060 0.7518 0.5008 (multiplicity 2)  1 F 1.86, 3 O 1.90-1.94
Li: 0.2919 0.2587 0.5319 (multiplicity 2)  3 O 1.87-1.91, 1 F 1.88
Li: 0.3189 0.4935 0.3680 (multiplicity 2)  3 O 2.00-2.20, 1 F 2.11
Li: 0.3191 0.7044 0.0080 (multiplicity 2)  3 O 1.93-2.11
Mn: 0.3022 0.9932 0.9940 (multiplicity 2)  4 O 1.91-2.05
O: 0.0472 0.8552 0.7202 (multiplicity 2)  2 Li 1.87-1.94, 1 Mn 1.95
O: 0.1470 0.1457 0.7360 (multiplicity 2)  3 Li 1.88-2.11, 1 Mn 1.91
O: 0.2723 0.5039 0.9754 (multiplicity 2)  4 Li 1.93-2.00, 1 Mn 2.05
O: 0.3476 0.8658 0.2913 (multiplicity 2)  3 Li 1.90-2.11, 1 Mn 1.93
F: 0.4411 0.1471 0.3295 (multiplicity 2)  2 Li 1.86-1.88